This record from Alexandria via LeMat-Bulk describes an optimized crystal structure of TaCuI2N. The functional is PBE.

a = 5.667 Å, b = 5.667 Å, c = 3.908 Å
α = 90.00°, β = 90.00°, γ = 90.00°
Fractional positions:
Ta1 0.000 0.000 0.000
Cu1 0.500 0.500 0.500
I1 0.000 0.500 0.000
I2 0.500 0.000 0.000
N1 0.000 0.000 0.500

Values from the calculation:
The volume is 25.1 Å³ per atom. As for the total energy: -5.097 eV per atom. The value obtained for the formation energy without anion corrections is 0.38 eV/atom. For the distance to the lowest polymorph of the same formula, the calculation gives 0 meV per atom. The value obtained for the total magnetic moment is 0.60 Bohr magnetons per cell.


This record from Alexandria via LeMat-Bulk describes an optimized crystal structure of YSb2Cl. The functional is PBE.

a = 12.236 Å, b = 12.236 Å, c = 12.236 Å
α = 159.61°, β = 159.61°, γ = 29.00°
Fractional positions:
Y1 0.000 0.000 0.000
Y2 0.750 0.250 0.500
Sb1 0.094 0.625 0.969
Sb2 0.375 0.344 0.469
Sb3 0.656 0.125 0.031
Sb4 0.875 0.906 0.531
Cl1 0.250 0.750 0.500
Cl2 0.500 0.500 0.000

Values from the calculation:
The volume is 27.8 Å³ per atom. As for the total energy: -4.811 eV per atom. The value obtained for the formation energy without anion corrections is -0.67 eV/atom. For the distance to the lowest polymorph of the same formula, the calculation gives 188 meV per atom. The value obtained for the total magnetic moment is 0.00 Bohr magnetons per cell.


This record from Alexandria via LeMat-Bulk describes an optimized crystal structure of AgPd2Cl6. The functional is PBE.

a = 6.410 Å, b = 6.410 Å, c = 8.430 Å
α = 93.34°, β = 93.34°, γ = 45.09°
Fractional positions:
Ag1 0.000 0.000 0.000
Pd1 0.279 0.279 0.655
Pd2 0.721 0.721 0.345
Cl1 0.088 0.088 0.747
Cl2 0.210 0.210 0.382
Cl3 0.375 0.375 0.901
Cl4 0.625 0.625 0.099
Cl5 0.790 0.790 0.618
Cl6 0.912 0.912 0.253

Values from the calculation:
The volume is 27.2 Å³ per atom. As for the total energy: -2.978 eV per atom. The value obtained for the formation energy without anion corrections is -0.28 eV/atom. For the distance to the lowest polymorph of the same formula, the calculation gives 125 meV per atom. The value obtained for the total magnetic moment is 0.01 Bohr magnetons per cell.


This record from Alexandria via LeMat-Bulk describes an optimized crystal structure of Nd2AuS. The functional is PBE.

a = 7.594 Å, b = 7.594 Å, c = 7.594 Å
α = 31.41°, β = 31.41°, γ = 31.41°
Fractional positions:
Nd1 0.244 0.244 0.244
Nd2 0.756 0.756 0.756
Au1 0.000 0.000 0.000
S1 0.500 0.500 0.500

Values from the calculation:
The volume is 26.4 Å³ per atom. As for the total energy: -5.562 eV per atom. The value obtained for the formation energy without anion corrections is -1.33 eV/atom. For the distance to the lowest polymorph of the same formula, the calculation gives 61 meV per atom. The value obtained for the total magnetic moment is 0.00 Bohr magnetons per cell.


This record from Alexandria via LeMat-Bulk describes an optimized crystal structure of CdRh2Cl. The functional is PBE.

a = 3.046 Å, b = 3.046 Å, c = 7.523 Å
α = 90.00°, β = 90.00°, γ = 90.00°
Fractional positions:
Cd1 0.000 0.000 0.000
Rh1 0.000 0.000 0.545
Rh2 0.500 0.500 0.756
Cl1 0.500 0.500 0.302

Values from the calculation:
The volume is 17.4 Å³ per atom. As for the total energy: -4.281 eV per atom. The value obtained for the formation energy without anion corrections is 0.09 eV/atom. For the distance to the lowest polymorph of the same formula, the calculation gives 69 meV per atom. The value obtained for the total magnetic moment is 2.00 Bohr magnetons per cell.


This record from Alexandria via LeMat-Bulk describes an optimized crystal structure of LiBr2N. The functional is PBE.

a = 7.480 Å, b = 7.480 Å, c = 7.480 Å
α = 137.89°, β = 137.89°, γ = 61.08°
Fractional positions:
Li1 0.000 0.000 0.000
Li2 0.750 0.250 0.500
Br1 0.208 0.625 0.083
Br2 0.375 0.458 0.583
Br3 0.542 0.125 0.917
Br4 0.875 0.792 0.417
N1 0.250 0.750 0.500
N2 0.500 0.500 0.000

Values from the calculation:
The volume is 23.3 Å³ per atom. As for the total energy: -2.908 eV per atom. The value obtained for the formation energy without anion corrections is 0.49 eV/atom. For the distance to the lowest polymorph of the same formula, the calculation gives 403 meV per atom. The value obtained for the total magnetic moment is 0.00 Bohr magnetons per cell.